# 1
# PrDyInHg | Alexandria via LeMat-Bulk | PBE | relaxed
# **Formation enthalpy at 0 K**: -0.460 eV per atom
data_PrDyInHg
_chemical_formula_sum 'Pr4 Dy4 In4 Hg4'
_space_group_name_H-M_alt 'F -4 3 m'
_space_group_IT_number 216
_space_group_name_Hall 'F -4 2 3'
_cell_length_a 7.654
_cell_length_b 7.654
_cell_length_c 7.654
_cell_angle_alpha 90.00
_cell_angle_beta 90.00
_cell_angle_gamma 90.00
loop_
_atom_site_label
_atom_site_fract_x
_atom_site_fract_y
_atom_site_fract_z
Pr1 0.000 0.000 0.000
Dy1 0.000 0.000 0.500
In1 0.250 0.250 0.750
Hg1 0.250 0.250 0.250

# 2
# Tb5DySb4 | Alexandria via LeMat-Bulk | PBE | relaxed
# **E_form (uncorrected)**: -742.6 meV/atom
data_Tb5DySb4
_chemical_formula_sum 'Tb10 Dy2 Sb8'
_space_group_name_H-M_alt 'C 1 2/m 1'
_space_group_IT_number 12
_space_group_name_Hall '-C 2y'
_cell_length_a 18.695
_cell_length_b 4.314
_cell_length_c 8.443
_cell_angle_alpha 90.00
_cell_angle_beta 105.63
_cell_angle_gamma 90.00
loop_
_atom_site_label
_atom_site_fract_x
_atom_site_fract_y
_atom_site_fract_z
Tb1 0.000 0.000 0.000
Tb2 0.163 0.500 0.324
Tb3 0.177 0.500 0.850
Dy1 0.000 0.000 0.500
Sb1 0.008 0.500 0.756
Sb2 0.169 0.000 0.587